# 1
This record from Alexandria describes crystalline AcSc2Fe2O7 at its relaxed geometry. The functional is GGA+U.

Calculated values
Volume (Å³ per atom): 12.67
Density (g/cm³): 5.90
Size of the total moment (μB per cell): 17.97

a = 17.6094 Å, b = 4.1462 Å, c = 4.2725 Å
α = 90.00°, β = 102.84°, γ = 90.00°
Space group Cm (No. 8)
One atom of each set of equivalent atoms:
1 Ac 0.0000 0.0000 0.0000
2 Sc 0.1230 0.5000 0.6725
3 Sc 0.3911 0.0000 0.4268
4 Fe 0.2390 0.5000 0.2886
5 Fe 0.2600 0.0000 0.8124
6 O 0.0086 0.5000 0.6247
7 O 0.1201 0.5000 0.1839
8 O 0.1412 0.0000 0.7129
9 O 0.2507 0.5000 0.8015
10 O 0.2689 0.0000 0.3243
11 O 0.3818 0.0000 0.9253
12 O 0.4105 0.5000 0.4361



# 2
This record from Alexandria describes crystalline Ac2FeSeO6 at its relaxed geometry. The functional is GGA+U.

Calculated values
Volume (Å³ per atom): 13.65
Density (g/cm³): 8.33
Size of the total moment (μB per cell): 8.00

a = 5.7099 Å, b = 5.8146 Å, c = 8.2198 Å
α = 90.00°, β = 90.00°, γ = 90.00°
Space group Immm (No. 71)
One atom of each set of equivalent atoms:
1 Ac 0.0000 0.0000 0.2488
2 Fe 0.0000 0.5000 0.5000
3 Se 0.0000 0.5000 0.0000
4 O 0.0000 0.5000 0.2460
5 O 0.2504 0.2464 0.5000



# 3
This record from Alexandria describes crystalline AcFeSeO2 at its relaxed geometry. The functional is GGA+U.

Calculated values
D(E_F) (states/eV per atom): 0.2360
Volume (Å³ per atom): 19.82
Density (g/cm³): 6.60
Size of the total moment (μB per cell): 12.16

a = 5.7505 Å, b = 12.3635 Å, c = 5.5761 Å
α = 90.00°, β = 90.00°, γ = 90.00°
Space group Cmcm (No. 63)
One atom of each set of equivalent atoms:
1 Ac 0.0000 0.1301 0.2500
2 Fe 0.0000 0.4975 0.7500
3 Se 0.0000 0.2635 0.7500
4 O 0.2308 0.5000 0.0000



# 4
This record from Alexandria describes crystalline Ac2SmFeO6 at its relaxed geometry. The functional is GGA+U.

Calculated values
Volume (Å³ per atom): 15.01
Density (g/cm³): 8.37
Size of the total moment (μB per cell): 5.98

a = 10.2929 Å, b = 5.7930 Å, c = 5.9285 Å
α = 90.00°, β = 121.90°, γ = 90.00°
Space group C2/m (No. 12)
One atom of each set of equivalent atoms:
1 Ac 0.2423 0.0000 0.2248
2 Sm 0.0000 0.0000 0.5000
3 Fe 0.0000 0.5000 0.0000
4 O 0.0603 0.2631 0.8328
5 O 0.2426 0.5000 0.3475



# 5
This record from Alexandria describes crystalline Sr2AcFeO5 at its relaxed geometry. The functional is GGA+U.

Calculated values
D(E_F) (states/eV per atom): 0.0000
Volume (Å³ per atom): 15.23
Density (g/cm³): 6.52
Size of the total moment (μB per cell): 19.89

a = 6.8773 Å, b = 6.8773 Å, c = 11.5918 Å
α = 90.00°, β = 90.00°, γ = 90.00°
Space group I4/mcm (No. 140)
One atom of each set of equivalent atoms:
1 Sr 0.1725 0.3275 0.0000
2 Ac 0.0000 0.0000 0.2500
3 Fe 0.0000 0.5000 0.2500
4 O 0.0000 0.0000 0.0000
5 O 0.1532 0.3468 0.3486



# 6
This record from Alexandria describes crystalline Sr2AcFe2O6 at its relaxed geometry. The functional is GGA+U.

Calculated values
Volume (Å³ per atom): 18.98
Density (g/cm³): 4.85
Size of the total moment (μB per cell): 27.00

a = 6.1624 Å, b = 6.1624 Å, c = 19.0451 Å
α = 90.00°, β = 90.00°, γ = 120.00°
Space group R-3m (No. 166, hexagonal axes)
One atom of each set of equivalent atoms:
1 Sr 0.0000 0.0000 0.1901
2 Ac 0.0000 0.0000 0.0000
3 Fe 0.0000 0.0000 0.4331
4 O 0.0134 0.5067 0.7617



# 7
This record from Alexandria describes crystalline SrAc2FeO6 at its relaxed geometry. The functional is GGA+U.

Calculated values
Volume (Å³ per atom): 16.90
Density (g/cm³): 6.81
Size of the total moment (μB per cell): 3.98

a = 5.6514 Å, b = 5.6514 Å, c = 5.2916 Å
α = 90.00°, β = 90.00°, γ = 90.00°
Space group P4mm (No. 99)
One atom of each set of equivalent atoms:
1 Sr 0.0000 0.0000 0.0000
2 Ac 0.0000 0.5000 0.4602
3 Fe 0.5000 0.5000 0.0682
4 O 0.0000 0.0000 0.5526
5 O 0.2733 0.2733 0.1780
6 O 0.5000 0.5000 0.7010



# 8
This record from Alexandria describes crystalline SrAc2FeO5 at its relaxed geometry. The functional is GGA+U.

Calculated values
D(E_F) (states/eV per atom): 0.0000
Volume (Å³ per atom): 16.25
Density (g/cm³): 7.69
Size of the total moment (μB per cell): 4.00

a = 7.0837 Å, b = 7.0837 Å, c = 5.8278 Å
α = 90.00°, β = 90.00°, γ = 90.00°
Space group P4/mbm (No. 127)
One atom of each set of equivalent atoms:
1 Sr 0.0000 0.0000 0.0000
2 Ac 0.1740 0.3260 0.5000
3 Fe 0.0000 0.5000 0.0000
4 O 0.0000 0.0000 0.5000
5 O 0.1381 0.6381 0.2300



# 9
This record from Alexandria describes crystalline SrAcFe2O5 at its relaxed geometry. The functional is GGA+U.

Calculated values
D(E_F) (states/eV per atom): 0.0419
Volume (Å³ per atom): 14.21
Density (g/cm³): 6.57
Size of the total moment (μB per cell): 9.00

a = 4.0380 Å, b = 4.0380 Å, c = 7.8436 Å
α = 90.00°, β = 90.00°, γ = 90.00°
Space group P4/mmm (No. 123)
One atom of each set of equivalent atoms:
1 Sr 0.0000 0.0000 0.0000
2 Ac 0.0000 0.0000 0.5000
3 Fe 0.5000 0.5000 0.2503
4 O 0.0000 0.5000 0.2892
5 O 0.5000 0.5000 0.0000



# 10
This record from Alexandria describes crystalline SrAc2Fe2O7 at its relaxed geometry. The functional is GGA+U.

Calculated values
D(E_F) (states/eV per atom): 0.0000
Volume (Å³ per atom): 16.02
Density (g/cm³): 6.61
Size of the total moment (μB per cell): 19.95

a = 3.5890 Å, b = 20.9412 Å, c = 5.1159 Å
α = 90.00°, β = 90.00°, γ = 90.00°
Space group Imm2 (No. 44)
One atom of each set of equivalent atoms:
1 Sr 0.0000 0.0000 0.0000
2 Ac 0.0000 0.3085 0.4671
3 Fe 0.0000 0.4151 0.0245
4 O 0.0000 0.1148 0.6715
5 O 0.0000 0.2673 0.9412
6 O 0.0000 0.4182 0.6671
7 O 0.0000 0.5000 0.1538



# 11
This record from Alexandria describes crystalline Ac2TaFeO6 at its relaxed geometry. The functional is GGA+U.

Calculated values
D(E_F) (states/eV per atom): 0.1781
Volume (Å³ per atom): 13.21
Density (g/cm³): 9.89
Size of the total moment (μB per cell): 0.99

a = 5.6800 Å, b = 5.6800 Å, c = 4.0934 Å
α = 90.00°, β = 90.00°, γ = 90.00°
Space group P4/mmm (No. 123)
One atom of each set of equivalent atoms:
1 Ac 0.0000 0.5000 0.0000
2 Ta 0.0000 0.0000 0.5000
3 Fe 0.5000 0.5000 0.5000
4 O 0.0000 0.0000 0.0000
5 O 0.2499 0.2499 0.5000
6 O 0.5000 0.5000 0.0000



# 12
This record from Alexandria describes crystalline AcFeTc2O8 at its relaxed geometry. The functional is GGA+U.

Calculated values
Volume (Å³ per atom): 13.08
Density (g/cm³): 6.42
Size of the total moment (μB per cell): 2.99

a = 5.1304 Å, b = 5.1304 Å, c = 20.6509 Å
α = 90.00°, β = 90.00°, γ = 120.00°
Space group R-3 (No. 148, hexagonal axes)
One atom of each set of equivalent atoms:
1 Ac 0.0000 0.0000 0.0000
2 Fe 0.0000 0.0000 0.5000
3 Tc 0.0000 0.0000 0.2319
4 O 0.0000 0.0000 0.3213
5 O 0.0045 0.3604 0.7763



# 13
This record from Alexandria describes crystalline Ac2FeTcO8 at its relaxed geometry. The functional is GGA+U.

Calculated values
Volume (Å³ per atom): 14.36
Density (g/cm³): 7.09
Size of the total moment (μB per cell): 2.96

a = 4.5056 Å, b = 5.4026 Å, c = 7.1859 Å
α = 83.60°, β = 86.91°, γ = 82.66°
Space group P-1 (No. 2)
One atom of each set of equivalent atoms:
1 Ac 0.1950 0.0195 0.2438
2 Fe 0.5000 0.5000 0.0000
3 Tc 0.5000 0.5000 0.5000
4 O 0.1861 0.7376 0.5581
5 O 0.2979 0.8204 0.9417
6 O 0.3030 0.2364 0.6125
7 O 0.3215 0.4890 0.2482



# 14
This record from Alexandria describes crystalline AcFe2TcO6 at its relaxed geometry. The functional is GGA+U.

Calculated values
D(E_F) (states/eV per atom): 0.0154
Volume (Å³ per atom): 12.98
Density (g/cm³): 6.81
Size of the total moment (μB per cell): 8.00

a = 5.3892 Å, b = 5.5685 Å, c = 5.7055 Å
α = 116.86°, β = 91.33°, γ = 117.33°
Space group P1 (No. 1)
One atom of each set of equivalent atoms:
1 Ac 0.0000 0.0000 0.0000
2 Fe 0.2412 0.5003 0.7844
3 Fe 0.7443 0.5106 0.3162
4 Tc 0.4233 0.8998 0.3869
5 O 0.0449 0.6307 0.0910
6 O 0.1447 0.6783 0.5755
7 O 0.4180 0.2815 0.5317
8 O 0.4224 0.4906 0.1004
9 O 0.5833 0.0294 0.1188
10 O 0.7723 0.9796 0.5782



# 15
This record from Alexandria describes crystalline AcFe2TeO8 at its relaxed geometry. The functional is GGA+U.

Calculated values
D(E_F) (states/eV per atom): 0.4889
Volume (Å³ per atom): 12.77
Density (g/cm³): 6.44
Size of the total moment (μB per cell): 27.00

a = 5.1765 Å, b = 5.1765 Å, c = 19.8083 Å
α = 90.00°, β = 90.00°, γ = 120.00°
Space group R-3 (No. 148, hexagonal axes)
One atom of each set of equivalent atoms:
1 Ac 0.0000 0.0000 0.0000
2 Fe 0.0000 0.0000 0.2275
3 Te 0.0000 0.0000 0.5000
4 O 0.0000 0.0000 0.3171
5 O 0.0026 0.6265 0.2209



# 16
This record from Alexandria describes crystalline AcFeTeO2 at its relaxed geometry. The functional is GGA+U.

Calculated values
D(E_F) (states/eV per atom): 0.4826
Volume (Å³ per atom): 22.51
Density (g/cm³): 6.53
Size of the total moment (μB per cell): 4.49

a = 4.0936 Å, b = 4.0936 Å, c = 6.7156 Å
α = 90.00°, β = 90.00°, γ = 90.00°
Space group P4mm (No. 99)
One atom of each set of equivalent atoms:
1 Ac 0.0000 0.0000 0.0000
2 Fe 0.5000 0.5000 0.2797
3 Te 0.5000 0.5000 0.6918
4 O 0.0000 0.5000 0.1990



# 17
This record from Alexandria describes crystalline AcFeTe2O8 at its relaxed geometry. The functional is GGA+U.

Calculated values
D(E_F) (states/eV per atom): 0.2326
Volume (Å³ per atom): 16.53
Density (g/cm³): 5.58
Size of the total moment (μB per cell): 6.78

a = 7.4864 Å, b = 7.4864 Å, c = 7.0789 Å
α = 90.00°, β = 90.00°, γ = 90.00°
Space group I-4m2 (No. 119)
One atom of each set of equivalent atoms:
1 Ac 0.0000 0.0000 0.0000
2 Fe 0.0000 0.5000 0.2500
3 Te 0.0000 0.0000 0.5000
4 Te 0.0000 0.5000 0.7500
5 O 0.0000 0.1999 0.3216
6 O 0.0000 0.3166 0.9214



# 18
This record from Alexandria describes crystalline Ac2FeTeO6 at its relaxed geometry. The functional is GGA+U.

Calculated values
Volume (Å³ per atom): 15.13
Density (g/cm³): 8.05
Size of the total moment (μB per cell): 8.00

a = 5.8141 Å, b = 8.4658 Å, c = 6.1495 Å
α = 90.00°, β = 90.00°, γ = 90.00°
Space group Pmmn (No. 59, origin choice 2)
One atom of each set of equivalent atoms:
1 Ac 0.2500 0.0261 0.2169
2 Fe 0.2500 0.7500 0.7614
3 Te 0.2500 0.2500 0.7354
4 O 0.0064 0.2500 0.9924
5 O 0.0133 0.2500 0.4567
6 O 0.2500 0.9998 0.8066



# 19
This record from Alexandria describes crystalline AcFe2TeO6 at its relaxed geometry. The functional is GGA+U.

Calculated values
D(E_F) (states/eV per atom): 0.2738
Volume (Å³ per atom): 13.68
Density (g/cm³): 6.83
Size of the total moment (μB per cell): 14.49

a = 5.6926 Å, b = 5.8749 Å, c = 8.1811 Å
α = 90.00°, β = 90.00°, γ = 90.00°
Space group Pnnm (No. 58)
One atom of each set of equivalent atoms:
1 Ac 0.0000 0.0000 0.0000
2 Fe 0.0000 0.5000 0.2108
3 Te 0.0000 0.0000 0.5000
4 O 0.1528 0.2192 0.3235
5 O 0.1797 0.3542 0.0000



# 20
This record from Alexandria describes crystalline AcTiFe2O6 at its relaxed geometry. The functional is GGA+U.

Calculated values
Volume (Å³ per atom): 12.30
Density (g/cm³): 6.52
Size of the total moment (μB per cell): 6.98

a = 5.3327 Å, b = 5.3777 Å, c = 5.7496 Å
α = 62.85°, β = 63.41°, γ = 61.20°
Space group P1 (No. 1)
One atom of each set of equivalent atoms:
1 Ac 0.0000 0.0000 0.0000
2 Ti 0.5215 0.5393 0.4050
3 Fe 0.2220 0.2241 0.3289
4 Fe 0.7269 0.7368 0.7854
5 O 0.1397 0.8294 0.5569
6 O 0.3975 0.5284 0.1183
7 O 0.4426 0.1610 0.5705
8 O 0.5350 0.9316 0.1019
9 O 0.7892 0.4783 0.5796
10 O 0.9319 0.4098 0.1207



Q: Which electronic total energy values were calculated for the entries above? A: -7.860 -6.796 -6.488 -7.607 -6.767 -6.608 -7.001 -7.036 -6.891 -7.027 -8.066 -7.511 -7.443 -7.236 -6.333 -6.370 -6.014 -6.787 -6.481 -7.600, in eV per atom.